4
Lattice="3.591 0.000 0.000 1.795 3.110 0.000 1.795 1.037 10.351" Properties=species:S:1:pos:R:3 comment="Y2ErAl | Alexandria via LeMat-Bulk | GGA-PBE | relaxed" volume_a3_per_atom=28.9 sg="No. 160" magnetic_moment_mub_per_fu=0.74 e_form_ev_per_fu=-0.34 pbc="T T T"
Y 1.795 1.037 2.266
Y 1.795 1.037 8.086
Al 3.591 2.073 0.010
Er 3.591 2.073 5.165

=====

12
Lattice="6.144 -0.686 0.000 -2.547 8.545 0.000 -1.798 -3.930 6.846" Properties=species:S:1:pos:R:3 comment="YEr4Al | Alexandria via LeMat-Bulk | GGA-PBE | relaxed" volume_a3_per_atom=29.0 sg="No. 15" magnetic_moment_mub_per_fu=0.00 e_form_ev_per_fu=-0.23 pbc="T T T"
Er 1.702 3.124 4.312
Er 3.340 5.586 1.647
Er 3.328 1.931 1.647
Er 2.976 -1.149 2.534
Er -1.542 -1.656 5.199
Er -1.530 1.999 5.199
Er 0.096 0.806 2.534
Er -1.178 5.079 4.312
Y 1.536 -0.171 5.609
Y 0.262 4.101 1.237
Al 4.608 -0.514 0.009
Al -2.810 4.444 6.837

=====

7
Lattice="3.626 0.000 0.000 0.000 5.589 -0.073 -1.813 -2.646 10.514" Properties=species:S:1:pos:R:3 comment="Y4Er2Al | Alexandria via LeMat-Bulk | GGA-PBE | relaxed" volume_a3_per_atom=30.3 sg="No. 12" magnetic_moment_mub_per_fu=0.00 e_form_ev_per_fu=-0.28 pbc="T T T"
Y 0.000 2.824 1.665
Y 1.813 0.119 8.775
Y 1.813 0.040 2.620
Y 0.000 2.902 7.821
Er 1.813 2.862 4.682
Er 0.000 0.081 5.758
Al 0.000 0.000 0.000

=====

12
Lattice="-5.233 -0.833 -1.703 -0.995 -1.707 -5.203 -1.609 -9.179 0.342" Properties=species:S:1:pos:R:3 comment="Y2ErAl9 | Alexandria via LeMat-Bulk | GGA-PBE | relaxed" volume_a3_per_atom=19.6 sg="No. 166" magnetic_moment_mub_per_fu=0.00 e_form_ev_per_fu=-4.28 pbc="T T T"
Al -4.354 -7.503 -1.139
Al -2.974 -3.344 -2.767
Al -3.483 -4.216 -5.426
Al -3.918 -5.860 -3.282
Al -4.863 -8.375 -3.798
Al -3.688 -9.976 -1.976
Al -2.188 -7.949 -2.928
Al -5.649 -3.770 -3.637
Al -4.149 -1.743 -4.588
Er 0.000 0.000 0.000
Y -1.808 -5.629 -0.785
Y -6.029 -6.090 -5.780

=====

4
Lattice="5.062 0.000 0.000 2.531 4.384 0.000 2.531 1.461 4.133" Properties=species:S:1:pos:R:3 comment="YErAlZn | Alexandria via LeMat-Bulk | GGA-PBE | relaxed" volume_a3_per_atom=22.9 sg="No. 216" magnetic_moment_mub_per_fu=0.00 e_form_ev_per_fu=-1.55 pbc="T T T"
Y 7.593 4.384 3.100
Zn 0.000 0.000 0.000
Er 2.531 1.461 1.033
Al 5.062 2.923 2.067

=====

4
Lattice="3.562 0.000 0.000 0.000 3.562 0.000 0.000 0.000 7.197" Properties=species:S:1:pos:R:3 comment="YErAlZn | Alexandria via LeMat-Bulk | GGA-PBE | relaxed" volume_a3_per_atom=22.8 sg="No. 99" magnetic_moment_mub_per_fu=0.00 e_form_ev_per_fu=-1.58 pbc="T T T"
Er 0.000 0.000 6.209
Y 0.000 0.000 2.541
Zn 1.781 1.781 0.725
Al 1.781 1.781 4.400

=====

7
Lattice="-3.913 1.463 1.662 -3.862 -1.819 -1.410 -2.098 -6.240 6.633" Properties=species:S:1:pos:R:3 comment="YEr2Al2Zn2 | Alexandria via LeMat-Bulk | GGA-PBE | relaxed" volume_a3_per_atom=22.5 sg="No. 166" magnetic_moment_mub_per_fu=0.00 e_form_ev_per_fu=-2.19 pbc="T T T"
Y 0.000 0.000 0.000
Zn -5.084 -1.463 1.480
Zn -4.788 -5.133 5.406
Er -7.585 -2.707 2.768
Er -2.288 -3.890 4.118
Al -7.386 -5.171 5.403
Al -2.486 -1.426 1.483

=====

11
Lattice="4.275 0.000 0.000 0.000 4.275 0.000 0.000 0.000 11.342" Properties=species:S:1:pos:R:3 comment="Er2Al8Zn | Alexandria via LeMat-Bulk | GGA-PBE | relaxed" volume_a3_per_atom=18.8 sg="No. 123" magnetic_moment_mub_per_fu=0.00 e_form_ev_per_fu=-2.67 pbc="T T T"
Al 2.138 0.000 1.458
Al 0.000 2.138 1.458
Al 2.138 0.000 5.671
Al 2.138 2.138 3.498
Al 0.000 2.138 5.671
Al 0.000 2.138 9.884
Al 2.138 0.000 9.884
Al 2.138 2.138 7.844
Zn 0.000 0.000 0.000
Er 0.000 0.000 7.768
Er 0.000 0.000 3.574

=====

8
Lattice="-2.071 1.494 -2.478 -2.751 -0.073 2.255 3.588 12.935 4.798" Properties=species:S:1:pos:R:3 comment="Er4Al3Zn | Alexandria via LeMat-Bulk | GGA-PBE | relaxed" volume_a3_per_atom=22.6 sg="No. 123" magnetic_moment_mub_per_fu=0.00 e_form_ev_per_fu=-3.11 pbc="T T T"
Er 1.342 4.840 1.795
Er 0.435 1.568 0.582
Er 3.153 11.367 4.216
Er 2.245 8.095 3.003
Zn -2.411 0.710 -0.112
Al -0.617 7.177 2.287
Al 0.288 10.442 3.498
Al -1.523 3.913 1.076

=====

7
Lattice="4.360 0.000 -0.951 -0.174 3.438 -0.799 -0.098 0.506 10.018" Properties=species:S:1:pos:R:3 comment="Er3AlZn3 | Alexandria via LeMat-Bulk | GGA-PBE | relaxed" volume_a3_per_atom=21.7 sg="No. 44" magnetic_moment_mub_per_fu=0.00 e_form_ev_per_fu=-2.47 pbc="T T T"
Er 0.009 0.010 0.040
Er 1.124 3.069 5.151
Er 2.951 0.860 3.059
Zn 2.361 2.018 0.353
Zn 0.471 2.341 2.158
Zn 3.617 1.603 6.111
Al 1.730 1.930 7.931